MnBeFe2: relaxed, PBE-GGA.

Results
total moment	2.73	Bohr magnetons per cell
formation energy	0.0107	eV/atom
ρ	7.16	g/cm³

POSCAR file:
```
MnBeFe2
1.0
-1.737 -0.223 -2.138
0.875 -2.584 -0.441
-3.791 -1.841 3.271
Fe Be Mn
2 1 1
direct
0.500 0.500 0.247
0.000 0.000 0.981
0.500 0.500 0.757
0.000 0.000 0.515
```

=====

MnBeFe6: relaxed, PBE-GGA.

Results
total moment	33.86	Bohr magnetons per cell
formation energy	-0.0120	eV/atom
ρ	7.66	g/cm³

POSCAR file:
```
MnBeFe6
1.0
-4.786 -1.194 -3.559
4.845 -3.143 -1.907
-2.552 -7.553 5.966
Be Fe Mn
4 24 4
direct
0.755 0.245 0.750
0.500 0.500 0.999
0.245 0.755 0.750
0.500 0.500 0.501
0.750 0.250 0.997
0.871 0.618 0.873
0.382 0.129 0.873
0.618 0.871 0.627
0.129 0.382 0.873
0.000 0.000 0.750
0.750 0.250 0.503
0.871 0.618 0.627
0.132 0.379 0.377
0.250 0.750 0.997
0.379 0.132 0.377
0.500 0.500 0.250
0.382 0.129 0.627
0.621 0.868 0.377
0.500 0.500 0.750
0.129 0.382 0.627
0.868 0.621 0.377
0.000 0.000 0.250
0.618 0.871 0.873
0.621 0.868 0.123
0.250 0.750 0.503
0.132 0.379 0.123
0.868 0.621 0.123
0.379 0.132 0.123
0.245 0.755 0.250
0.000 0.000 0.501
0.000 0.000 0.999
0.755 0.245 0.250
```

=====

MnBe3Fe: relaxed, PBE-GGA.

Results
total moment	0.04	Bohr magnetons per cell
energy relative to the lowest polymorph listed for this composition	578	meV per atom
formation energy	1.2020	eV/atom
ρ	4.11	g/cm³

POSCAR file:
```
MnBe3Fe
1.0
3.819 0.000 0.000
0.000 3.819 0.000
0.000 0.000 3.819
Fe Be Mn
1 3 1
direct
0.500 0.500 0.500
0.000 0.000 0.500
0.500 0.000 0.000
0.000 0.500 0.000
0.000 0.000 0.000
```

=====

MnBeFe2: relaxed, PBE-GGA.

Results
total moment	4.89	Bohr magnetons per cell
formation energy	0.0171	eV/atom
ρ	7.04	g/cm³

POSCAR file:
```
MnBeFe2
1.0
-2.215 -0.021 0.913
-0.332 -0.410 -2.337
0.566 -7.316 1.202
Be Mn Fe
1 1 2
direct
0.500 0.500 0.750
0.500 0.500 0.250
0.000 0.000 0.517
0.000 0.000 0.983
```

=====

> Which value of ρ does entry 2 give?

7.66 g/cm³